Run A
Below is GaAuS2N after structural relaxation, with properties calculated at the PBE level.

Cell: 5.111 5.111 3.775 Å, 90.00 90.00 90.00°
Fractional coordinates of all 5 atoms:
S 0.500 0.000 0.000
N 0.000 0.000 0.500
S 0.000 0.500 0.000
Au 0.000 0.000 0.000
Ga 0.500 0.500 0.500

M_tot (Bohr magnetons per cell): 0.0
Fermi-level density of states (states/eV/f.u.): 4.4
Crystal system: tetragonal

=====

Run B
Below is GaAuS2N after structural relaxation, with properties calculated at the PBE level.

Cell: 4.927 4.927 3.616 Å, 90.00 90.00 90.00°
Fractional coordinates of all 5 atoms:
S 0.000 0.500 0.000
N 0.000 0.000 0.500
Ga 0.000 0.000 0.000
Au 0.500 0.500 0.500
S 0.500 0.000 0.000

M_tot (Bohr magnetons per cell): 0.0
Fermi-level density of states (states/eV/f.u.): 6.3
Crystal system: tetragonal

=====

Energies relative to the most stable structure are run A 4.5; run B 0.0, reported in kJ/mol of atoms.

=====

Run A
Below is GaAuSN2 after structural relaxation, with properties calculated at the PBE level.

Cell: 3.800 8.065 3.800 Å, 90.00 90.00 90.00°
Fractional coordinates of all 5 atoms:
N 0.500 0.000 0.000
Au 0.000 0.000 0.000
N 0.000 0.000 0.500
Ga 0.500 0.500 0.500
S 0.000 0.500 0.000

M_tot (Bohr magnetons per cell): 0.7
Fermi-level density of states (states/eV/f.u.): 3.6
Crystal system: tetragonal

=====

Run B
Below is GaAuSN2 after structural relaxation, with properties calculated at the PBE level.

Cell: 4.057 4.057 5.374 Å, 90.00 90.00 90.00°
Fractional coordinates of all 5 atoms:
Ga 0.500 0.500 0.500
N 0.000 0.500 0.000
Au 0.000 0.000 0.000
N 0.500 0.000 0.000
S 0.000 0.000 0.500

M_tot (Bohr magnetons per cell): 3.2
Fermi-level density of states (states/eV/f.u.): 2.2
Crystal system: tetragonal

=====

Energies relative to the most stable structure are run A 0.0; run B 0.9, reported in kJ/mol of atoms.

=====

Run A
Below is GaAuSe2N after structural relaxation, with properties calculated at the PBE level.

Cell: 5.433 5.433 3.755 Å, 90.00 90.00 90.00°
Fractional coordinates of all 5 atoms:
N 0.000 0.000 0.500
Se 0.000 0.500 0.000
Ga 0.500 0.500 0.500
Se 0.500 0.000 0.000
Au 0.000 0.000 0.000

M_tot (Bohr magnetons per cell): 0.0
Fermi-level density of states (states/eV/f.u.): 4.6
Crystal system: tetragonal

=====

Run B
Below is GaAuSe2N after structural relaxation, with properties calculated at the PBE level.

Cell: 5.239 5.239 3.597 Å, 90.00 90.00 90.00°
Fractional coordinates of all 5 atoms:
Ga 0.000 0.000 0.000
Se 0.000 0.500 0.000
Se 0.500 0.000 0.000
N 0.000 0.000 0.500
Au 0.500 0.500 0.500

M_tot (Bohr magnetons per cell): 2.2
Fermi-level density of states (states/eV/f.u.): 3.9
Crystal system: tetragonal

=====

Energies relative to the most stable structure are run A 8.3; run B 0.0, reported in kJ/mol of atoms.

=====

Run A
Below is Sr2GaAuN after structural relaxation, with properties calculated at the PBE level.

Cell: 4.139 7.301 8.447 Å, 108.77 90.00 90.00°
Fractional coordinates of all 10 atoms:
N 0.750 0.175 0.168
Sr 0.750 0.823 0.612
Au 0.250 0.675 0.298
Ga 0.750 0.448 0.259
Sr 0.750 0.807 0.044
N 0.250 0.825 0.832
Au 0.750 0.325 0.702
Sr 0.250 0.177 0.388
Ga 0.250 0.552 0.741
Sr 0.250 0.193 0.956

M_tot (Bohr magnetons per cell): 0.0
Fermi-level density of states (states/eV/f.u.): 3.1
Crystal system: monoclinic

=====

Run B
Below is Sr2GaAuN after structural relaxation, with properties calculated at the PBE level.

Cell: 5.332 5.332 4.091 Å, 90.00 90.00 90.00°
Fractional coordinates of all 5 atoms:
Sr 0.000 0.500 0.000
Sr 0.500 0.000 0.000
Ga 0.000 0.000 0.500
N 0.000 0.000 0.000
Au 0.500 0.500 0.500

M_tot (Bohr magnetons per cell): 0.0
Fermi-level density of states (states/eV/f.u.): 2.6
Crystal system: tetragonal

=====

Energies relative to the most stable structure are run A 0.0; run B 14.4, reported in kJ/mol of atoms.